# 1
Material: CuPt
Method: DFT, PBE
State: relaxed

Results
VASP energy	-20.32	eV per cell
calculated volume	14.30	Å³ per atom
space group	Fd-3m, No. 227
formation energy from the elements	-0.010	eV per atom

Lattice parameters (Å, degrees): 4.3250 4.3250 4.3250 60.00 60.00 60.00
Last column: nearest neighbours and their distance in Å.
Fractional positions:
Cu 0.1250 0.1250 0.1250  4 Cu 2.65, 4 Pt 2.65
Cu 0.8750 0.8750 0.8750  4 Cu 2.65, 4 Pt 2.65
Pt 0.3750 0.3750 0.3750  4 Cu 2.65, 4 Pt 2.65
Pt 0.6250 0.6250 0.6250  4 Cu 2.65, 4 Pt 2.65



# 2
Material: Ac3Ag2Au6
Method: DFT, PBE
State: relaxed

Results
VASP energy	-43.79	eV per cell
calculated volume	25.78	Å³ per atom
space group	I4/mmm, No. 139
formation energy from the elements	-0.554	eV per atom

Lattice parameters (Å, degrees): 13.3700 13.3700 13.3700 159.85 159.85 28.65
Last column: nearest neighbours and their distance in Å.
Fractional positions:
Ac 0.0000 0.0000 0.0000  8 Ag 3.56, 8 Au 3.63
Ac 0.1947 0.1947 0.0000  9 Au 3.22-3.33
Ac 0.8053 0.8053 0.0000  9 Au 3.22-3.33
Ag 0.4494 0.4494 0.0000  1 Ag 2.62, 4 Au 2.76
Ag 0.5506 0.5506 0.0000  1 Ag 2.62, 4 Au 2.76
Au 0.1072 0.6072 0.5000  2 Ag 2.76, 2 Au 3.02
Au 0.3189 0.3189 0.0000  4 Au 3.02, 5 Ac 3.22-3.33, 1 Ag 3.38
Au 0.3928 0.8928 0.5000  2 Ag 2.76, 2 Au 3.02
Au 0.6072 0.1072 0.5000  2 Ag 2.76, 2 Au 3.02
Au 0.6811 0.6811 0.0000  4 Au 3.02, 5 Ac 3.22-3.33, 1 Ag 3.38
Au 0.8928 0.3928 0.5000  2 Ag 2.76, 2 Au 3.02



# 3
Material: Ca2Y2Se
Method: DFT, PBE
State: relaxed

Results
VASP energy	-20.14	eV per cell
calculated volume	31.58	Å³ per atom
space group	I4/mmm, No. 139
excess energy over the best structure of this formula in the dataset	504	meV per atom
ΔE_f (raw)	0.056	eV per atom

Lattice parameters (Å, degrees): 9.8685 9.8685 9.8685 156.07 156.07 34.09
Last column: nearest neighbours and their distance in Å.
Fractional positions:
Ca 0.2500 0.7500 0.5000  4 Ca 2.89
Ca 0.7500 0.2500 0.5000  4 Ca 2.89
Y 0.0865 0.0865 0.0000  1 Y 3.26, 4 Se 3.32
Y 0.9135 0.9135 0.0000  1 Y 3.26, 4 Se 3.32
Se 0.5000 0.5000 0.0000  8 Y 3.32



Sequential mass density output: 15.01, 12.17, 3.54 g/cm³